1.
Here is a relaxed structure of AcH4Pd4 from Alexandria via LeMat-Bulk. Energies are from PBE.

Summary:
calculated total energy	-4.63	eV per atom
crystal system	tetragonal
spin magnetization	0.00	Bohr magnetons per cell

Lattice parameters (Å, degrees): 7.4175 7.4175 3.9283 90.00 90.00 90.00
With the nearest neighbours (Å) after each atom.
Space group I4/m (No. 87)
Symmetry-distinct sites (fractional):
Ac (0.0000, 0.0000, 0.0000) (multiplicity 2)  12 H 3.00-3.15, 12 Pd 3.10-3.24
H (0.1500, 0.2970, 0.5000) (multiplicity 8)  4 Pd 1.86-2.07
Pd (0.1198, 0.6733, 0.5000) (multiplicity 8)  4 H 1.86-2.07

---

2.
Here is a relaxed structure of CaIn6Hg12 from Alexandria via LeMat-Bulk. Energies are from PBE.

Summary:
calculated total energy	-1.24	eV per atom
crystal system	trigonal
spin magnetization	0.00	Bohr magnetons per cell

Lattice parameters (Å, degrees): 14.4321 14.4321 8.2563 90.00 90.00 120.00
With the nearest neighbours (Å) after each atom.
Space group R-3 (No. 148, hexagonal axes)
Symmetry-distinct sites (fractional):
Ca (0.0000, 0.0000, 0.0000) (multiplicity 3)  12 Hg 3.33-3.34
In (0.0321, 0.7592, 0.3351) (multiplicity 18)  9 Hg 3.23-3.40, 3 In 3.37-3.42
Hg (0.0162, 0.8755, 0.6696) (multiplicity 18)  4 In 3.23-3.39, 7 Hg 3.29-3.40, 1 Ca 3.34
Hg (0.0694, 0.5022, 0.6672) (multiplicity 18)  5 In 3.28-3.40, 6 Hg 3.29-3.39, 1 Ca 3.33

---

3.
Here is a relaxed structure of NaCr2Rh from Alexandria via LeMat-Bulk. Energies are from PBE.

Summary:
calculated total energy	-6.26	eV per atom
crystal system	cubic
relative energy among the computed polymorphs	0.000	eV per formula unit
spin magnetization	30.79	Bohr magnetons per cell

Lattice parameters (Å, degrees): 6.3951 6.3951 6.3951 90.00 90.00 90.00
With the nearest neighbours (Å) after each atom.
Space group Fm-3m (No. 225)
Symmetry-distinct sites (fractional):
Na (0.0000, 0.0000, 0.0000) (multiplicity 4)  8 Cr 2.77
Cr (0.2500, 0.2500, 0.2500) (multiplicity 8)  4 Na 2.77, 4 Rh 2.77
Rh (0.0000, 0.0000, 0.5000) (multiplicity 4)  8 Cr 2.77

---

spin magnetization of number 1 (AcH4Pd4)?
0.00 Bohr magnetons per cell